This record from Alexandria describes an optimized crystal structure of Ni3Hg3RuO8. The functional is PBE with a Hubbard U.

Cell: 10.9648 6.1953 7.9347 Å, 90.00 130.96 90.00°
Closest atoms and distances in Å follow each position.
Space group C2/m (No. 12)
Asymmetric unit:
Ni: 0.0000 0.0000 0.0000  6 O 2.08-2.28
Ni: 0.2500 0.2500 0.0000  4 O 1.93-2.00
Hg: 0.0000 0.5000 0.5000  2 O 2.13
Hg: 0.2500 0.2500 0.5000  4 O 2.31-2.43
Ru: 0.0000 0.5000 0.0000  6 O 1.97-2.00
O: 0.0245 0.2593 0.8571  2 Ni 1.93-2.08, 1 Ru 2.00
O: 0.2318 0.5000 0.2683  1 Ru 1.97
O: 0.2324 0.5000 0.8261  2 Ni 2.00, 1 Hg 2.13

Results
VASP energy: -0.1618 hartree per atom
Fermi-level density of states: 2.41 states/eV/cell